Entry 1:
Entry from the Alexandria database: a relaxed Ac15Tb4Sm crystal (PBE).

Summary:
Space-group type: P4/mmm
Formation energy, eV/atom: 0.0312

Lattice parameters (Å, degrees): 5.5076 5.5076 27.3892 90.00 90.00 90.00
Last column: nearest neighbours and their distance in Å.
Positions (direct):
Ac  0.5000  0.5000  0.0000  8 Ac 3.89, 4 Sm 3.89
Ac  0.5000  0.5000  0.2003  8 Ac 3.88, 4 Tb 3.89
Ac  0.5000  0.5000  0.4000  8 Ac 3.88, 4 Tb 3.89
Ac  0.5000  0.5000  0.6000  8 Ac 3.88, 4 Tb 3.89
Ac  0.5000  0.5000  0.7997  8 Ac 3.88, 4 Tb 3.89
Ac  0.5000  0.0000  0.1005  8 Ac 3.88-3.89, 2 Tb 3.88, 2 Sm 3.89
Ac  0.5000  0.0000  0.3002  4 Tb 3.88, 8 Ac 3.88-3.89
Ac  0.5000  0.0000  0.5000  8 Ac 3.88-3.89, 4 Tb 3.88
Ac  0.5000  0.0000  0.6998  4 Tb 3.88, 8 Ac 3.88-3.89
Ac  0.5000  0.0000  0.8995  8 Ac 3.88-3.89, 2 Tb 3.88, 2 Sm 3.89
Ac  0.0000  0.5000  0.1005  8 Ac 3.88-3.89, 2 Tb 3.88, 2 Sm 3.89
Ac  0.0000  0.5000  0.3002  4 Tb 3.88, 8 Ac 3.88-3.89
Ac  0.0000  0.5000  0.5000  8 Ac 3.88-3.89, 4 Tb 3.88
Ac  0.0000  0.5000  0.6998  4 Tb 3.88, 8 Ac 3.88-3.89
Ac  0.0000  0.5000  0.8995  8 Ac 3.88-3.89, 2 Tb 3.88, 2 Sm 3.89
Tb  0.0000  0.0000  0.2003  12 Ac 3.88-3.89
Tb  0.0000  0.0000  0.4000  12 Ac 3.88-3.89
Tb  0.0000  0.0000  0.6000  12 Ac 3.88-3.89
Tb  0.0000  0.0000  0.7997  12 Ac 3.88-3.89
Sm  0.0000  0.0000  0.0000  12 Ac 3.89

Entry 2:
Entry from the Alexandria database: a relaxed Ac4TbSm crystal (PBE).

Summary:
E above lowest polymorph, kJ per mole of atoms: 0.0
Space-group type: Cmmm
Formation energy, eV/atom: 0.0456

Lattice parameters (Å, degrees): 8.5164 8.5164 5.5026 90.00 90.00 37.95
Last column: nearest neighbours and their distance in Å.
Positions (direct):
Ac  0.3392  0.3392  0.9999  2 Sm 3.78, 2 Tb 3.79, 8 Ac 3.90-3.99
Ac  0.6608  0.6608  0.0001  2 Sm 3.78, 2 Tb 3.79, 8 Ac 3.90-3.99
Ac  0.8396  0.8396  0.4998  2 Tb 3.77-3.78, 2 Sm 3.79, 8 Ac 3.90-4.00
Ac  0.1604  0.1604  0.5002  2 Tb 3.77-3.78, 2 Sm 3.79, 8 Ac 3.90-4.00
Tb  0.0000  0.0000  0.0000  8 Ac 3.77-3.79, 4 Sm 3.90
Sm  0.5000  0.5000  0.5000  8 Ac 3.78-3.79, 4 Tb 3.90

Which of these has the highest formation energy? Ac4TbSm

What did the second record say?
Entry from the Alexandria database: a relaxed Ac4TbSm crystal (PBE).

Summary:
E above lowest polymorph, kJ per mole of atoms: 0.0
Space-group type: Cmmm
Formation energy, eV/atom: 0.0456

Lattice parameters (Å, degrees): 8.5164 8.5164 5.5026 90.00 90.00 37.95
Last column: nearest neighbours and their distance in Å.
Positions (direct):
Ac  0.3392  0.3392  0.9999  2 Sm 3.78, 2 Tb 3.79, 8 Ac 3.90-3.99
Ac  0.6608  0.6608  0.0001  2 Sm 3.78, 2 Tb 3.79, 8 Ac 3.90-3.99
Ac  0.8396  0.8396  0.4998  2 Tb 3.77-3.78, 2 Sm 3.79, 8 Ac 3.90-4.00
Ac  0.1604  0.1604  0.5002  2 Tb 3.77-3.78, 2 Sm 3.79, 8 Ac 3.90-4.00
Tb  0.0000  0.0000  0.0000  8 Ac 3.77-3.79, 4 Sm 3.90
Sm  0.5000  0.5000  0.5000  8 Ac 3.78-3.79, 4 Tb 3.90

formation energy of number 2 (Ac4TbSm)? 0.0456 eV/atom